Run one
The following is a DFT calculation (PBE) of an optimized crystal structure of Na2HfW.

Unit cell a=8.380 b=8.380 c=5.224 alpha=90.00 beta=90.00 gamma=90.00
Space group I-42d (No. 122)
Unique sites:
Na (0.237, 0.750, 0.125)
Hf (0.000, 0.000, 0.500)
W (0.000, 0.000, 0.000)

Run two
The following is a DFT calculation (PBE) of an optimized crystal structure of Na2HfW.

Unit cell a=6.906 b=6.906 c=6.906 alpha=90.00 beta=90.00 gamma=90.00
Space group Fm-3m (No. 225)
Unique sites:
Na (0.250, 0.250, 0.250)
Hf (0.000, 0.000, 0.000)
W (0.000, 0.000, 0.500)

Referenced to the most stable arrangement, the calculated values in eV/atom are run one 0.000; run two 0.085.

Run one
The following is a DFT calculation (PBE) of an optimized crystal structure of NaY2Hf.

Unit cell a=3.400 b=3.400 c=10.402 alpha=90.00 beta=90.00 gamma=90.00
Space group P4/mmm (No. 123)
Unique sites:
Na (0.000, 0.000, 0.000)
Y (0.500, 0.500, 0.285)
Hf (0.000, 0.000, 0.500)

Run two
The following is a DFT calculation (PBE) of an optimized crystal structure of NaY2Hf.

Unit cell a=7.692 b=7.692 c=7.692 alpha=90.00 beta=90.00 gamma=90.00
Space group Fm-3m (No. 225)
Unique sites:
Na (0.000, 0.000, 0.000)
Y (0.250, 0.250, 0.250)
Hf (0.000, 0.000, 0.500)

Run three
The following is a DFT calculation (PBE) of an optimized crystal structure of NaY2Hf.

Unit cell a=4.652 b=4.652 c=22.099 alpha=90.00 beta=90.00 gamma=90.00
Space group I-42d (No. 122)
Unique sites:
Na (0.000, 0.000, 0.000)
Y (0.242, 0.250, 0.625)
Hf (0.000, 0.000, 0.500)

Referenced to the most stable arrangement, the calculated values in eV/atom are run one 0.000; run two 0.330; run three 0.722.

Run one
The following is a DFT calculation (PBE) of an optimized crystal structure of Na2YHf.

Unit cell a=8.727 b=8.727 c=5.969 alpha=90.00 beta=90.00 gamma=90.00
Space group I-42d (No. 122)
Unique sites:
Na (0.244, 0.250, 0.125)
Y (0.000, 0.000, 0.500)
Hf (0.000, 0.000, 0.000)

Run two
The following is a DFT calculation (PBE) of an optimized crystal structure of Na2YHf.

Unit cell a=7.607 b=7.607 c=7.607 alpha=90.00 beta=90.00 gamma=90.00
Space group Fm-3m (No. 225)
Unique sites:
Na (0.250, 0.250, 0.250)
Y (0.000, 0.000, 0.000)
Hf (0.000, 0.000, 0.500)

Referenced to the most stable arrangement, the calculated values in eV/atom are run one 0.111; run two 0.000.